Crystalline Sm4ThTl2 at its relaxed geometry. Source: the Alexandria database, functional GGA-PBE.

The total energy is -31.6 eV per formula unit. The calculated volume is 32.356 Å³/atom. Its energy relative to the elements is -79 meV per atom. The total magnetic moment is 0.0000 μB/atom.

The structure belongs to space group Cmmm (No. 65); the cell edges are 8.749, 10.481 and 4.940 Å and the angles 90.00°, 90.00° and 90.00°. The asymmetric unit holds Sm at (0.208, 0.000, 0.000), Sm at (0.250, 0.250, 0.500), Th at (0.000, 0.500, 0.500) and Tl at (0.000, 0.277, 0.000).